First-principles (GGA-PBE) data for an optimized crystal structure of K2SrPaO4, as listed in the Alexandria database.

Results
**Size of the total moment**: 0.11 μB per atom
**Formation energy (no corrections)**: -2.5386 eV/atom
**Total DFT energy (no corrections)**: -6.69 eV per atom

Lattice parameters (Å, degrees): 6.394 3.665 6.714 90.00 109.27 90.00
Space group P2/m (No. 10)
Inequivalent atoms, fractional coordinates:
K: 0.000 0.000 0.000 [1 per cell]
K: 0.500 0.500 0.000 [1 per cell]
Sr: 0.000 0.500 0.500 [1 per cell]
Pa: 0.500 0.000 0.500 [1 per cell]
O: 0.272 0.000 0.683 [2 per cell]
O: 0.296 0.500 0.313 [2 per cell]

***

First-principles (GGA-PBE) data for an optimized crystal structure of La2Tb5Sm3, as listed in the Alexandria database.

Results
**Energy relative to the elements**: 0.180 eV/atom
**Size of the total moment**: 0.00 μB per atom
**Total DFT energy (no corrections)**: -4.54 eV per atom
**Energy above the most stable polymorph in this dataset**: 0 meV/atom

Lattice parameters (Å, degrees): 10.768 16.711 9.254 90.00 125.54 90.00
Space group C2/c (No. 15)
Inequivalent atoms, fractional coordinates:
La: 0.151 0.125 0.046 [8 per cell]
Tb: 0.000 0.221 0.250 [4 per cell]
Tb: 0.000 0.276 0.750 [4 per cell]
Tb: 0.000 0.476 0.750 [4 per cell]
Tb: 0.248 0.131 0.740 [8 per cell]
Sm: 0.000 0.025 0.250 [4 per cell]
Sm: 0.143 0.373 0.541 [8 per cell]

***

First-principles (GGA-PBE) data for an optimized crystal structure of ZrCuAs2, as listed in the Alexandria database.

Results
**Energy relative to the elements**: -0.381 eV/atom
**Size of the total moment**: 0.00 μB per atom
**Total DFT energy (no corrections)**: -5.87 eV per atom

Lattice parameters (Å, degrees): 3.453 3.720 5.803 90.00 90.17 90.00
Space group P2/m (No. 10)
Inequivalent atoms, fractional coordinates:
Zr: 0.000 0.000 0.000 [1 per cell]
Cu: 0.500 0.000 0.500 [1 per cell]
As: 0.499 0.500 0.766 [2 per cell]

***

First-principles (GGA-PBE) data for an optimized crystal structure of CeGe3Os3, as listed in the Alexandria database.

Results
**Energy relative to the elements**: 0.410 eV/atom
**Size of the total moment**: 0.17 μB per atom
**Total DFT energy (no corrections)**: -7.23 eV per atom
**Energy above the most stable polymorph in this dataset**: 406 meV/atom

Lattice parameters (Å, degrees): 6.751 6.751 6.751 90.00 90.00 90.00
Space group Pm-3n (No. 223)
Inequivalent atoms, fractional coordinates:
Ce: 0.000 0.000 0.000 [2 per cell]
Ge: 0.000 0.250 0.500 [6 per cell]
Os: 0.000 0.500 0.250 [6 per cell]

***

First-principles (GGA-PBE) data for an optimized crystal structure of Pr4CdRu, as listed in the Alexandria database.

Results
**Energy relative to the elements**: -0.250 eV/atom
**Size of the total moment**: 0.00 μB per atom
**Total DFT energy (no corrections)**: -5.13 eV per atom
**Energy above the most stable polymorph in this dataset**: 0 meV/atom

Lattice parameters (Å, degrees): 14.140 14.140 14.140 90.00 90.00 90.00
Space group F-43m (No. 216)
Inequivalent atoms, fractional coordinates:
Pr: 0.000 0.000 0.189 [24 per cell]
Pr: 0.059 0.250 0.250 [24 per cell]
Pr: 0.096 0.096 0.596 [16 per cell]
Cd: 0.171 0.171 0.829 [16 per cell]
Ru: 0.112 0.112 0.388 [16 per cell]

***

First-principles (GGA-PBE) data for an optimized crystal structure of CaScTl, as listed in the Alexandria database.

Results
**Energy relative to the elements**: -0.261 eV/atom
**Size of the total moment**: 0.04 μB per atom
**Total DFT energy (no corrections)**: -3.83 eV per atom
**Energy above the most stable polymorph in this dataset**: 26 meV/atom

Lattice parameters (Å, degrees): 4.747 4.747 7.790 90.00 90.00 90.00
Space group P4/nmm (No. 129, origin choice 2)
Inequivalent atoms, fractional coordinates:
Ca: 0.250 0.250 0.149 [2 per cell]
Sc: 0.250 0.750 0.500 [2 per cell]
Tl: 0.250 0.250 0.736 [2 per cell]

***

First-principles (GGA-PBE) data for an optimized crystal structure of TcSeBr2F, as listed in the Alexandria database.

Results
**Size of the total moment**: 0.74 μB per atom
**Formation energy (no corrections)**: 0.6298 eV/atom
**Total DFT energy (no corrections)**: -3.18 eV per atom
**Energy above the most stable polymorph in this dataset**: 580 meV/atom

Lattice parameters (Å, degrees): 5.557 5.557 3.898 90.00 90.00 90.00
Space group P4/mmm (No. 123)
Inequivalent atoms, fractional coordinates:
Tc: 0.000 0.000 0.000 [1 per cell]
Se: 0.500 0.500 0.000 [1 per cell]
Br: 0.000 0.500 0.500 [2 per cell]
F: 0.500 0.500 0.500 [1 per cell]

***

First-principles (GGA-PBE) data for an optimized crystal structure of LiMnCr2Cd, as listed in the Alexandria database.

Results
**Energy relative to the elements**: 0.791 eV/atom
**Size of the total moment**: 0.79 μB per atom
**Total DFT energy (no corrections)**: -5.46 eV per atom

Lattice parameters (Å, degrees): 4.372 4.372 4.714 90.00 90.00 90.00
Space group P4/mmm (No. 123)
Inequivalent atoms, fractional coordinates:
Li: 0.000 0.000 0.000 [1 per cell]
Mn: 0.000 0.000 0.500 [1 per cell]
Cr: 0.000 0.500 0.500 [2 per cell]
Cd: 0.500 0.500 0.000 [1 per cell]

***

- Among the records above, which one has the lowest total DFT energy (no corrections)?
  CeGe3Os3